(1)
# B7C5 (GGA-PBE, optimized geometry)
# E_form: 410 meV/atom
# Excess energy over the best structure of this formula in the dataset: 245 meV per atom
data_B7C5
_chemical_formula_sum 'B14 C10'
_cell_length_a 12.138
_cell_length_b 2.722
_cell_length_c 5.632
_cell_angle_alpha 90.00
_cell_angle_beta 111.54
_cell_angle_gamma 90.00
_space_group_name_H-M_alt 'C 1 m 1'
_space_group_IT_number 8
_space_group_name_Hall 'C -2y'
loop_
_atom_site_label
_atom_site_fract_x
_atom_site_fract_y
_atom_site_fract_z
B1 0.000 0.000 0.000
B2 0.007 0.000 0.350
B3 0.097 0.500 0.479
B4 0.130 0.500 0.810
B5 0.176 0.000 0.683
B6 0.337 0.000 0.179
B7 0.349 0.500 0.769
C1 0.067 0.500 0.001
C2 0.171 0.500 0.271
C3 0.249 0.000 0.334
C4 0.301 0.000 0.633
C5 0.387 0.500 0.109

(2)
# BC (GGA-PBE, optimized geometry)
# E_form: 366 meV/atom
# Excess energy over the best structure of this formula in the dataset: 215 meV per atom
data_BC
_chemical_formula_sum 'B6 C6'
_cell_length_a 2.400
_cell_length_b 2.564
_cell_length_c 13.001
_cell_angle_alpha 90.00
_cell_angle_beta 90.00
_cell_angle_gamma 90.00
_space_group_name_H-M_alt 'P m m 2'
_space_group_IT_number 25
_space_group_name_Hall 'P 2 -2'
loop_
_atom_site_label
_atom_site_fract_x
_atom_site_fract_y
_atom_site_fract_z
B1 0.000 0.000 0.000
B2 0.000 0.000 0.303
B3 0.000 0.000 0.636
B4 0.500 0.000 0.530
B5 0.500 0.000 0.894
B6 0.500 0.500 0.794
C1 0.000 0.500 0.075
C2 0.000 0.500 0.382
C3 0.000 0.500 0.708
C4 0.500 0.000 0.213
C5 0.500 0.500 0.147
C6 0.500 0.500 0.448

(3)
# B7C5 (GGA-PBE, optimized geometry)
# E_form: 416 meV/atom
# Excess energy over the best structure of this formula in the dataset: 252 meV per atom
data_B7C5
_chemical_formula_sum 'B7 C5'
_cell_length_a 2.6902
_cell_length_b 2.6902
_cell_length_c 15.1055
_cell_angle_alpha 90.00
_cell_angle_beta 90.00
_cell_angle_gamma 120.00
_space_group_name_H-M_alt 'P 3 m 1'
_space_group_IT_number 156
_space_group_name_Hall 'P 3 -2"'
loop_
_atom_site_label
_atom_site_fract_x
_atom_site_fract_y
_atom_site_fract_z
B1 0.0000 0.0000 0.0000
B2 0.0000 0.0000 0.1241
B3 0.0000 0.0000 0.4388
B4 0.0000 0.0000 0.7095
B5 0.3333 0.6667 0.1771
B6 0.3333 0.6667 0.8206
B7 0.6667 0.3333 0.8852
C1 0.3333 0.6667 0.2829
C2 0.3333 0.6667 0.7167
C3 0.6667 0.3333 0.3170
C4 0.6667 0.3333 0.4258
C5 0.6667 0.3333 0.9895

(4)
# B3C5 (GGA-PBE, optimized geometry)
# E_form: 305 meV/atom
# Excess energy over the best structure of this formula in the dataset: 30 meV per atom
data_B3C5
_chemical_formula_sum 'B3 C5'
_cell_length_a 2.449
_cell_length_b 2.556
_cell_length_c 8.228
_cell_angle_alpha 90.00
_cell_angle_beta 90.00
_cell_angle_gamma 90.00
_space_group_name_H-M_alt 'P m m 2'
_space_group_IT_number 25
_space_group_name_Hall 'P 2 -2'
loop_
_atom_site_label
_atom_site_fract_x
_atom_site_fract_y
_atom_site_fract_z
B1 0.000 0.000 0.000
B2 0.000 0.000 0.475
B3 0.500 0.000 0.833
C1 0.000 0.500 0.120
C2 0.000 0.500 0.603
C3 0.500 0.000 0.337
C4 0.500 0.500 0.232
C5 0.500 0.500 0.705

(5)
# B7C5 (GGA-PBE, optimized geometry)
# E_form: 405 meV/atom
# Excess energy over the best structure of this formula in the dataset: 241 meV per atom
data_B7C5
_chemical_formula_sum 'B14 C10'
_cell_length_a 13.841
_cell_length_b 2.652
_cell_length_c 4.886
_cell_angle_alpha 90.00
_cell_angle_beta 104.35
_cell_angle_gamma 90.00
_space_group_name_H-M_alt 'C 1 m 1'
_space_group_IT_number 8
_space_group_name_Hall 'C -2y'
loop_
_atom_site_label
_atom_site_fract_x
_atom_site_fract_y
_atom_site_fract_z
B1 0.000 0.000 0.000
B2 0.012 0.500 0.537
B3 0.136 0.500 0.295
B4 0.167 0.000 0.829
B5 0.329 0.500 0.072
B6 0.352 0.500 0.503
B7 0.443 0.500 0.300
C1 0.121 0.000 0.109
C2 0.130 0.500 0.607
C3 0.293 0.000 0.917
C4 0.345 0.000 0.674
C5 0.460 0.000 0.794

(6)
# B3C2 (GGA-PBE, optimized geometry)
# E_form: 428 meV/atom
# Excess energy over the best structure of this formula in the dataset: 217 meV per atom
data_B3C2
_chemical_formula_sum 'B12 C8'
_cell_length_a 8.386
_cell_length_b 3.892
_cell_length_c 5.561
_cell_angle_alpha 90.00
_cell_angle_beta 130.22
_cell_angle_gamma 90.00
_space_group_name_H-M_alt 'C 1 2 1'
_space_group_IT_number 5
_space_group_name_Hall 'C 2y'
loop_
_atom_site_label
_atom_site_fract_x
_atom_site_fract_y
_atom_site_fract_z
B1 0.065 0.000 0.231
B2 0.178 0.649 0.528
B3 0.191 0.476 0.074
C1 0.000 0.439 0.500
C2 0.000 0.676 0.000
C3 0.107 0.200 0.793

(7)
# BC (GGA-PBE, optimized geometry)
# E_form: 377 meV/atom
# Excess energy over the best structure of this formula in the dataset: 226 meV per atom
data_BC
_chemical_formula_sum 'B8 C8'
_cell_length_a 9.076
_cell_length_b 2.588
_cell_length_c 4.675
_cell_angle_alpha 90.00
_cell_angle_beta 97.53
_cell_angle_gamma 90.00
_space_group_name_H-M_alt 'C 1 m 1'
_space_group_IT_number 8
_space_group_name_Hall 'C -2y'
loop_
_atom_site_label
_atom_site_fract_x
_atom_site_fract_y
_atom_site_fract_z
B1 0.000 0.000 0.000
B2 0.001 0.500 0.412
B3 0.240 0.500 0.224
B4 0.399 0.000 0.794
C1 0.172 0.500 0.544
C2 0.177 0.000 0.019
C3 0.225 0.000 0.710
C4 0.422 0.500 0.298

(8)
# BC (GGA-PBE, optimized geometry)
# E_form: 437 meV/atom
# Excess energy over the best structure of this formula in the dataset: 287 meV per atom
data_BC
_chemical_formula_sum 'B15 C15'
_cell_length_a 2.5471
_cell_length_b 2.5471
_cell_length_c 35.5469
_cell_angle_alpha 90.00
_cell_angle_beta 90.00
_cell_angle_gamma 120.00
_space_group_name_H-M_alt 'R 3 m'
_space_group_IT_number 160
_space_group_name_Hall 'R 3 -2"'
loop_
_atom_site_label
_atom_site_fract_x
_atom_site_fract_y
_atom_site_fract_z
B1 0.0000 0.0000 0.0000
B2 0.0000 0.0000 0.0477
B3 0.0000 0.0000 0.2111
B4 0.0000 0.0000 0.4114
B5 0.0000 0.0000 0.8484
C1 0.0000 0.0000 0.2555
C2 0.0000 0.0000 0.4560
C3 0.0000 0.0000 0.6041
C4 0.0000 0.0000 0.6462
C5 0.0000 0.0000 0.8040

(9)
# B7C5 (GGA-PBE, optimized geometry)
# E_form: 495 meV/atom
# Excess energy over the best structure of this formula in the dataset: 330 meV per atom
data_B7C5
_chemical_formula_sum 'B7 C5'
_cell_length_a 2.5842
_cell_length_b 2.5842
_cell_length_c 14.3692
_cell_angle_alpha 90.00
_cell_angle_beta 90.00
_cell_angle_gamma 120.00
_space_group_name_H-M_alt 'P 3 m 1'
_space_group_IT_number 156
_space_group_name_Hall 'P 3 -2"'
loop_
_atom_site_label
_atom_site_fract_x
_atom_site_fract_y
_atom_site_fract_z
B1 0.0000 0.0000 0.0000
B2 0.0000 0.0000 0.1180
B3 0.0000 0.0000 0.5446
B4 0.3333 0.6667 0.1939
B5 0.3333 0.6667 0.8022
B6 0.6667 0.3333 0.3500
B7 0.6667 0.3333 0.4686
C1 0.0000 0.0000 0.6548
C2 0.3333 0.6667 0.3011
C3 0.3333 0.6667 0.6895
C4 0.6667 0.3333 0.8505
C5 0.6667 0.3333 0.9482

(10)
# BC (GGA-PBE, optimized geometry)
# E_form: 345 meV/atom
# Excess energy over the best structure of this formula in the dataset: 195 meV per atom
data_BC
_chemical_formula_sum 'B12 C12'
_cell_length_a 8.178
_cell_length_b 2.579
_cell_length_c 7.960
_cell_angle_alpha 90.00
_cell_angle_beta 114.20
_cell_angle_gamma 90.00
_space_group_name_H-M_alt 'C 1 m 1'
_space_group_IT_number 8
_space_group_name_Hall 'C -2y'
loop_
_atom_site_label
_atom_site_fract_x
_atom_site_fract_y
_atom_site_fract_z
B1 0.000 0.000 0.000
B2 0.017 0.500 0.754
B3 0.120 0.500 0.526
B4 0.250 0.000 0.082
B5 0.283 0.000 0.638
B6 0.339 0.000 0.876
C1 0.040 0.000 0.221
C2 0.121 0.000 0.860
C3 0.126 0.500 0.329
C4 0.327 0.500 0.382
C5 0.342 0.500 0.194
C6 0.410 0.000 0.503

(11)
# BC (GGA-PBE, optimized geometry)
# E_form: 381 meV/atom
# Excess energy over the best structure of this formula in the dataset: 230 meV per atom
data_BC
_chemical_formula_sum 'B12 C12'
_cell_length_a 3.626
_cell_length_b 11.661
_cell_length_c 3.893
_cell_angle_alpha 90.00
_cell_angle_beta 91.75
_cell_angle_gamma 90.00
_space_group_name_H-M_alt 'C 1 2 1'
_space_group_IT_number 5
_space_group_name_Hall 'C 2y'
loop_
_atom_site_label
_atom_site_fract_x
_atom_site_fract_y
_atom_site_fract_z
B1 0.000 0.000 0.000
B2 0.000 0.145 0.500
B3 0.000 0.351 0.000
B4 0.000 0.644 0.000
B5 0.237 0.259 0.692
C1 0.000 0.497 0.500
C2 0.000 0.847 0.500
C3 0.239 0.574 0.735
C4 0.240 0.417 0.277

(12)
# B7C5 (GGA-PBE, optimized geometry)
# E_form: 405 meV/atom
# Excess energy over the best structure of this formula in the dataset: 241 meV per atom
data_B7C5
_chemical_formula_sum 'B14 C10'
_cell_length_a 8.287
_cell_length_b 2.585
_cell_length_c 8.287
_cell_angle_alpha 90.00
_cell_angle_beta 115.17
_cell_angle_gamma 90.00
_space_group_name_H-M_alt 'C 1 m 1'
_space_group_IT_number 8
_space_group_name_Hall 'C -2y'
loop_
_atom_site_label
_atom_site_fract_x
_atom_site_fract_y
_atom_site_fract_z
B1 0.000 0.000 0.000
B2 0.003 0.500 0.717
B3 0.016 0.000 0.238
B4 0.140 0.000 0.866
B5 0.167 0.500 0.564
B6 0.358 0.000 0.867
B7 0.412 0.000 0.485
C1 0.119 0.500 0.345
C2 0.209 0.000 0.085
C3 0.286 0.000 0.655
C4 0.304 0.500 0.179
C5 0.311 0.500 0.371

(13)
# B7C5 (GGA-PBE, optimized geometry)
# E_form: 391 meV/atom
# Excess energy over the best structure of this formula in the dataset: 226 meV per atom
data_B7C5
_chemical_formula_sum 'B14 C10'
_cell_length_a 8.629
_cell_length_b 2.430
_cell_length_c 8.518
_cell_angle_alpha 90.00
_cell_angle_beta 117.13
_cell_angle_gamma 90.00
_space_group_name_H-M_alt 'C 1 m 1'
_space_group_IT_number 8
_space_group_name_Hall 'C -2y'
loop_
_atom_site_label
_atom_site_fract_x
_atom_site_fract_y
_atom_site_fract_z
B1 0.000 0.000 0.000
B2 0.031 0.500 0.300
B3 0.075 0.500 0.526
B4 0.145 0.500 0.154
B5 0.186 0.000 0.846
B6 0.257 0.500 0.387
B7 0.367 0.500 0.181
C1 0.196 0.000 0.663
C2 0.297 0.500 0.973
C3 0.380 0.000 0.506
C4 0.385 0.000 0.693
C5 0.479 0.500 0.799

(14)
# B3C (GGA-PBE, optimized geometry)
# E_form: 334 meV/atom
# Excess energy over the best structure of this formula in the dataset: 93 meV per atom
data_B3C
_chemical_formula_sum 'B9 C3'
_cell_length_a 5.212
_cell_length_b 2.701
_cell_length_c 6.403
_cell_angle_alpha 90.00
_cell_angle_beta 109.05
_cell_angle_gamma 90.00
_space_group_name_H-M_alt 'P 1 m 1'
_space_group_IT_number 6
_space_group_name_Hall 'P -2y'
loop_
_atom_site_label
_atom_site_fract_x
_atom_site_fract_y
_atom_site_fract_z
B1 0.000 0.000 0.000
B2 0.001 0.000 0.733
B3 0.200 0.500 0.658
B4 0.260 0.500 0.356
B5 0.573 0.000 0.194
B6 0.619 0.000 0.679
B7 0.641 0.500 0.029
B8 0.772 0.000 0.469
B9 0.931 0.500 0.373
C1 0.432 0.000 0.375
C2 0.522 0.500 0.767
C3 0.987 0.500 0.117

(15)
# BC (GGA-PBE, optimized geometry)
# E_form: 380 meV/atom
# Excess energy over the best structure of this formula in the dataset: 229 meV per atom
data_BC
_chemical_formula_sum 'B6 C6'
_cell_length_a 4.211
_cell_length_b 4.393
_cell_length_c 5.040
_cell_angle_alpha 107.78
_cell_angle_beta 104.21
_cell_angle_gamma 108.39
_space_group_name_H-M_alt 'P -1'
_space_group_IT_number 2
_space_group_name_Hall '-P 1'
loop_
_atom_site_label
_atom_site_fract_x
_atom_site_fract_y
_atom_site_fract_z
B1 0.061 0.032 0.206
B2 0.382 0.793 0.161
B3 0.428 0.453 0.304
C1 0.114 0.712 0.335
C2 0.234 0.881 0.676
C3 0.254 0.599 0.808

(16)
# BC (GGA-PBE, optimized geometry)
# E_form: 318 meV/atom
# Excess energy over the best structure of this formula in the dataset: 167 meV per atom
data_BC
_chemical_formula_sum 'B6 C6'
_cell_length_a 2.6675
_cell_length_b 2.6675
_cell_length_c 14.9223
_cell_angle_alpha 90.00
_cell_angle_beta 90.00
_cell_angle_gamma 120.00
_space_group_name_H-M_alt 'P 3 m 1'
_space_group_IT_number 156
_space_group_name_Hall 'P 3 -2"'
loop_
_atom_site_label
_atom_site_fract_x
_atom_site_fract_y
_atom_site_fract_z
B1 0.0000 0.0000 0.0000
B2 0.0000 0.0000 0.2683
B3 0.0000 0.0000 0.5840
B4 0.3333 0.6667 0.3803
B5 0.3333 0.6667 0.8416
B6 0.6667 0.3333 0.4498
C1 0.0000 0.0000 0.7031
C2 0.3333 0.6667 0.2755
C3 0.3333 0.6667 0.7294
C4 0.6667 0.3333 0.5518
C5 0.6667 0.3333 0.8822
C6 0.6667 0.3333 0.9873

(17)
# B7C5 (GGA-PBE, optimized geometry)
# E_form: 216 meV/atom
# Excess energy over the best structure of this formula in the dataset: 52 meV per atom
data_B7C5
_chemical_formula_sum 'B7 C5'
_cell_length_a 4.705
_cell_length_b 2.722
_cell_length_c 8.119
_cell_angle_alpha 90.00
_cell_angle_beta 91.33
_cell_angle_gamma 90.00
_space_group_name_H-M_alt 'P 1 m 1'
_space_group_IT_number 6
_space_group_name_Hall 'P -2y'
loop_
_atom_site_label
_atom_site_fract_x
_atom_site_fract_y
_atom_site_fract_z
B1 0.000 0.000 0.000
B2 0.000 0.000 0.471
B3 0.149 0.500 0.684
B4 0.307 0.000 0.801
B5 0.500 0.500 0.477
B6 0.505 0.500 0.001
B7 0.730 0.000 0.689
C1 0.167 0.500 0.486
C2 0.338 0.000 0.991
C3 0.666 0.000 0.493
C4 0.819 0.500 0.779
C5 0.837 0.500 0.975

(18)
# B3C2 (GGA-PBE, optimized geometry)
# E_form: 434 meV/atom
# Excess energy over the best structure of this formula in the dataset: 223 meV per atom
data_B3C2
_chemical_formula_sum 'B12 C8'
_cell_length_a 2.612
_cell_length_b 2.684
_cell_length_c 20.379
_cell_angle_alpha 90.00
_cell_angle_beta 90.00
_cell_angle_gamma 90.00
_space_group_name_H-M_alt 'I m m 2'
_space_group_IT_number 44
_space_group_name_Hall 'I 2 -2'
loop_
_atom_site_label
_atom_site_fract_x
_atom_site_fract_y
_atom_site_fract_z
B1 0.000 0.000 0.000
B2 0.000 0.000 0.208
B3 0.000 0.000 0.420
B4 0.000 0.000 0.791
B5 0.000 0.500 0.356
B6 0.000 0.500 0.568
C1 0.000 0.000 0.613
C2 0.000 0.500 0.153
C3 0.000 0.500 0.752
C4 0.000 0.500 0.962

(19)
# BC (GGA-PBE, optimized geometry)
# E_form: 405 meV/atom
# Excess energy over the best structure of this formula in the dataset: 254 meV per atom
data_BC
_chemical_formula_sum 'B8 C8'
_cell_length_a 8.435
_cell_length_b 2.527
_cell_length_c 4.868
_cell_angle_alpha 90.00
_cell_angle_beta 92.27
_cell_angle_gamma 90.00
_space_group_name_H-M_alt 'C 1 m 1'
_space_group_IT_number 8
_space_group_name_Hall 'C -2y'
loop_
_atom_site_label
_atom_site_fract_x
_atom_site_fract_y
_atom_site_fract_z
B1 0.000 0.000 0.000
B2 0.047 0.500 0.471
B3 0.255 0.500 0.793
B4 0.435 0.500 0.636
C1 0.189 0.000 0.964
C2 0.242 0.500 0.429
C3 0.277 0.000 0.249
C4 0.451 0.000 0.185

(20)
# BC (GGA-PBE, optimized geometry)
# E_form: 453 meV/atom
# Excess energy over the best structure of this formula in the dataset: 302 meV per atom
data_BC
_chemical_formula_sum 'B6 C6'
_cell_length_a 4.515
_cell_length_b 4.529
_cell_length_c 4.651
_cell_angle_alpha 62.89
_cell_angle_beta 83.06
_cell_angle_gamma 72.83
_space_group_name_H-M_alt 'P 1'
_space_group_IT_number 1
_space_group_name_Hall 'P 1'
loop_
_atom_site_label
_atom_site_fract_x
_atom_site_fract_y
_atom_site_fract_z
B1 0.000 0.000 0.000
B2 0.005 0.613 0.802
B3 0.178 0.962 0.375
B4 0.193 0.564 0.137
B5 0.555 0.137 0.738
B6 0.628 0.100 0.141
C1 0.036 0.306 0.432
C2 0.172 0.273 0.756
C3 0.535 0.776 0.453
C4 0.555 0.479 0.108
C5 0.650 0.761 0.759
C6 0.677 0.436 0.424